Below is a relaxed structure of CdAg2AuCl6, with properties calculated at the PBE level.

a b c (Å): 6.5711 7.2969 7.8313
angles (deg): 54.02 63.92 60.64
Closest atoms and distances in Å follow each position.
Sites, in units of the cell vectors:
Cl  0.6617  0.1538  0.7950  1 Cd 2.54, 2 Ag 2.65
Cl  0.5988  0.2093  0.2794  1 Au 2.43, 1 Ag 2.70
Ag  0.5498  0.4976  0.4146  4 Cl 2.61-2.70
Ag  0.0401  0.9958  0.9435  5 Cl 2.63-2.89
Cl  0.9695  0.5624  0.2165  1 Cd 2.53, 2 Ag 2.62-2.72
Cd  0.3166  0.3326  0.0286  6 Cl 2.53-2.80
Au  0.8186  0.8208  0.5307  4 Cl 2.43-2.57
Cl  0.4318  0.7498  0.7718  1 Au 2.49, 1 Ag 2.63, 1 Cd 2.76
Cl  0.2117  0.9047  0.2765  1 Au 2.57, 1 Ag 2.61, 1 Cd 2.79
Cl  0.0632  0.4348  0.7587  1 Au 2.43, 1 Ag 2.69

**Space group**: No. 1
**Fermi-level density of states**: 2.994 states/eV per cell
**E_tot**: -2.621 eV/atom
**ΔE_f (raw)**: -5.24 eV per formula unit


Below is a relaxed structure of Pa4Ge8Pd, with properties calculated at the PBE level.

a b c (Å): 4.0516 4.1213 16.2443
angles (deg): 90.00 90.00 90.00
Closest atoms and distances in Å follow each position.
Sites, in units of the cell vectors:
Pd  0.0000  0.0000  0.3189  5 Ge 2.45-2.52
Ge  0.0000  0.5000  0.2293  2 Pd 2.52
Ge  0.5000  0.0000  0.2285  2 Pd 2.50
Ge  0.0000  0.0000  0.7523  4 Ge 2.89, 4 Pa 3.02-3.06
Pa  0.0000  0.5000  0.6127  10 Ge 2.97-3.10
Pa  0.5000  0.0000  0.8904  10 Ge 2.98-3.24
Pa  0.5000  0.5000  0.4056  6 Ge 3.07-3.38, 4 Pd 3.22
Ge  0.0000  0.0000  0.4698  1 Pd 2.45, 2 Ge 2.60
Pa  0.0000  0.0000  0.0935  10 Ge 2.99-3.29
Ge  0.5000  0.5000  0.7515  4 Ge 2.89, 4 Pa 3.03-3.06
Ge  0.0000  0.5000  0.9355  2 Ge 2.69, 4 Pa 2.98
Ge  0.5000  0.5000  0.0446  2 Ge 2.69, 4 Pa 3.00
Ge  0.5000  0.0000  0.5704  2 Ge 2.60

**Space group**: No. 25
**Fermi-level density of states**: 15.459 states/eV per cell
**Formation energy from the elements**: -0.4356 eV per atom
**E_tot**: -6.598 eV/atom


Below is a relaxed structure of SbPtSe2, with properties calculated at the PBE level.

a b c (Å): 3.3964 3.3964 7.0710
angles (deg): 90.00 90.00 90.00
Closest atoms and distances in Å follow each position.
Sites, in units of the cell vectors:
Se  0.0000  0.0000  0.0321  4 Pt 2.85, 1 Se 3.08, 4 Sb 3.12
Pt  0.5000  0.5000  0.2500  8 Se 2.85
Se  0.0000  0.0000  0.4679  4 Pt 2.85, 1 Se 3.08, 4 Sb 3.12
Sb  0.5000  0.5000  0.7500  8 Se 3.12, 4 Sb 3.40

**Space group**: No. 123
**Fermi-level density of states**: 2.983 states/eV per cell
**E_tot**: -3.988 eV/atom
**ΔE_f (raw)**: 1.18 eV per formula unit